# 1
{
  "formula": "Tm5Co3",
  "functional": "PBE",
  "state": "optimized geometry",
  "lattice": [[6.955, 0.000, 0.000], [0.000, 6.955, 0.000], [0.000, 0.000, 14.038]],
  "species": ["Tm", "Tm", "Tm", "Tm", "Tm", "Tm", "Tm", "Tm", "Tm", "Tm", "Tm", "Tm", "Tm", "Tm", "Tm", "Tm", "Tm", "Tm", "Tm", "Tm", "Co", "Co", "Co", "Co", "Co", "Co", "Co", "Co", "Co", "Co", "Co", "Co"],
  "frac_coords": [[0.823, 0.822, 0.607], [0.177, 0.822, 0.107], [0.178, 0.823, 0.393], [0.000, 0.500, 0.750], [0.822, 0.177, 0.393], [0.677, 0.678, 0.393], [0.678, 0.323, 0.607], [0.322, 0.677, 0.607], [0.000, 0.500, 0.250], [0.678, 0.677, 0.107], [0.677, 0.322, 0.893], [0.822, 0.823, 0.893], [0.323, 0.322, 0.393], [0.177, 0.178, 0.607], [0.823, 0.178, 0.107], [0.323, 0.678, 0.893], [0.322, 0.323, 0.107], [0.500, 0.000, 0.250], [0.178, 0.177, 0.893], [0.500, 0.000, 0.750], [0.614, 0.386, 0.250], [0.114, 0.886, 0.750], [0.386, 0.386, 0.750], [0.386, 0.614, 0.250], [0.886, 0.886, 0.250], [0.614, 0.614, 0.750], [0.000, 0.500, 0.500], [0.886, 0.114, 0.750], [0.500, 0.000, 0.500], [0.500, 0.000, 0.000], [0.114, 0.114, 0.250], [0.000, 0.500, 0.000]],
  "formation_enthalpy_0k_ev_per_atom": -0.22,
  "final_energy_ha_per_atom": -0.20886,
  "magnetic_moment_mub_per_atom": 0.000
}



# 2
{
  "formula": "Tm5Co4",
  "functional": "PBE",
  "state": "optimized geometry",
  "lattice": [[-2.816, 2.732, 0.878], [-2.609, 1.741, -4.577], [-7.692, -4.810, -0.496]],
  "species": ["Tm", "Tm", "Tm", "Tm", "Tm", "Co", "Co", "Co", "Co"],
  "frac_coords": [[0.111, 0.175, 0.604], [0.889, 0.825, 0.396], [0.763, 0.652, 0.822], [0.237, 0.348, 0.178], [0.000, 0.000, 0.000], [0.454, 0.256, 0.836], [0.546, 0.744, 0.164], [0.404, 0.579, 0.612], [0.596, 0.421, 0.388]],
  "formation_enthalpy_0k_ev_per_atom": -0.24,
  "final_energy_ha_per_atom": -0.21616,
  "magnetic_moment_mub_per_atom": 0.000
}



# 3
{
  "formula": "Tm4Co",
  "functional": "PBE",
  "state": "optimized geometry",
  "lattice": [[-6.239, -3.022, -2.475], [-6.383, 3.584, 0.767], [-3.368, 2.824, -5.904]],
  "species": ["Tm", "Tm", "Tm", "Tm", "Tm", "Tm", "Tm", "Tm", "Co", "Co"],
  "frac_coords": [[0.886, 0.886, 0.886], [0.342, 0.886, 0.886], [0.886, 0.886, 0.342], [0.908, 0.364, 0.364], [0.364, 0.364, 0.364], [0.886, 0.342, 0.886], [0.364, 0.364, 0.908], [0.364, 0.908, 0.364], [0.500, 0.500, 0.500], [0.750, 0.750, 0.750]],
  "formation_enthalpy_0k_ev_per_atom": 0.30,
  "polymorph_energy_ev_per_fu": 1.894,
  "final_energy_ha_per_atom": -0.17276,
  "magnetic_moment_mub_per_atom": 0.000
}



# 4
{
  "formula": "Tm2UCo",
  "functional": "PBE",
  "state": "optimized geometry",
  "lattice": [[3.182, 0.000, 0.000], [1.591, 2.755, 0.000], [1.591, 0.918, 10.273]],
  "species": ["Co", "Tm", "Tm", "U"],
  "frac_coords": [[0.500, 0.500, 0.500], [0.104, 0.104, 0.689], [0.896, 0.896, 0.311], [0.000, 0.000, 0.000]],
  "formation_enthalpy_0k_ev_per_atom": 0.40,
  "final_energy_ha_per_atom": -0.23629,
  "magnetic_moment_mub_per_atom": 0.359
}



# 5
{
  "formula": "Tm2UCo3",
  "functional": "PBE",
  "state": "optimized geometry",
  "lattice": [[3.978, 0.000, 0.000], [0.000, 5.068, 0.000], [0.000, 0.000, 10.669]],
  "species": ["Tm", "Tm", "Tm", "Tm", "U", "U", "Co", "Co", "Co", "Co", "Co", "Co"],
  "frac_coords": [[0.500, 0.798, 0.204], [0.000, 0.702, 0.704], [0.000, 0.298, 0.296], [0.500, 0.202, 0.796], [0.000, 0.500, 0.000], [0.500, 0.000, 0.500], [0.000, 0.000, 0.000], [0.500, 0.500, 0.500], [0.500, 0.285, 0.081], [0.500, 0.715, 0.919], [0.000, 0.215, 0.581], [0.000, 0.785, 0.419]],
  "formation_enthalpy_0k_ev_per_atom": -0.27,
  "final_energy_ha_per_atom": -0.26430,
  "magnetic_moment_mub_per_atom": 0.000
}



# 6
{
  "formula": "Tm2UCo2",
  "functional": "PBE",
  "state": "optimized geometry",
  "lattice": [[5.877, 0.194, 0.811], [2.755, 5.195, 0.811], [0.146, 0.091, 6.744]],
  "species": ["Tm", "Tm", "Tm", "Tm", "U", "U", "Co", "Co", "Co", "Co"],
  "frac_coords": [[0.454, 0.244, 0.146], [0.756, 0.546, 0.354], [0.546, 0.756, 0.854], [0.244, 0.454, 0.646], [0.075, 0.925, 0.250], [0.925, 0.075, 0.750], [0.730, 0.976, 0.516], [0.024, 0.270, 0.984], [0.270, 0.024, 0.484], [0.976, 0.730, 0.016]],
  "formation_enthalpy_0k_ev_per_atom": -0.25,
  "final_energy_ha_per_atom": -0.26224,
  "magnetic_moment_mub_per_atom": 0.000
}